Record 1
Nd3AlTl after structural relaxation. Source: the Alexandria database, functional PBE-GGA.

```
Nd3AlTl
1.0
5.240 0.000 0.000
0.000 8.391 0.000
0.000 -4.193 7.268
Al Tl Nd
2 2 6
Cartesian
2.620 0.000 0.000
0.000 0.000 0.000
3.930 4.194 2.423
1.310 0.003 4.844
1.310 4.196 4.491
1.310 2.404 1.388
3.930 1.793 5.879
3.930 0.001 2.776
3.930 -1.789 5.879
1.310 5.987 1.388
```

Calculated values
E above lowest polymorph, meV per atom: 113
Space-group type: P6_3/mmc
Formation energy from the elements, eV/atom: -0.13


Record 2
UAlTc2 after structural relaxation. Source: the Alexandria database, functional PBE-GGA.

```
UAlTc2
1.0
-3.136 -1.930 -2.708
-2.177 -3.781 1.359
-4.424 0.192 1.130
Tc U Al
2 1 1
Cartesian
-2.434 -1.380 -0.055
-7.303 -4.140 -0.165
-4.869 -2.760 -0.110
0.000 0.000 0.000
```

Calculated values
E above lowest polymorph, meV per atom: 148
Space-group type: Fm-3m
Formation energy from the elements, eV/atom: -0.22


Record 3
PrYEr5Th2 after structural relaxation. Source: the Alexandria database, functional PBE-GGA.

```
PrYEr5Th2
1.0
-7.110 3.056 -4.086
-5.096 -4.614 5.416
5.871 6.745 4.200
Th Er Pr Y
4 10 2 2
Cartesian
-2.788 -1.392 1.574
-7.194 -2.900 3.214
-5.012 1.342 -1.885
-9.418 -0.166 -0.245
0.000 0.000 0.000
0.854 2.460 5.835
-5.146 -0.976 4.333
-7.189 2.726 -0.306
2.799 5.027 2.780
-3.201 1.590 1.278
-9.133 0.160 2.749
-3.133 3.597 4.251
-1.189 6.163 1.197
-6.103 -0.779 0.665
-2.664 0.676 5.140
-3.671 4.511 0.389
-6.219 2.204 3.097
-0.116 2.983 2.432
```

Calculated values
Space-group type: I4/mcm
Formation energy from the elements, eV/atom: 0.33


Repeat the second record exactly.
UAlTc2 after structural relaxation. Source: the Alexandria database, functional PBE-GGA.

```
UAlTc2
1.0
-3.136 -1.930 -2.708
-2.177 -3.781 1.359
-4.424 0.192 1.130
Tc U Al
2 1 1
Cartesian
-2.434 -1.380 -0.055
-7.303 -4.140 -0.165
-4.869 -2.760 -0.110
0.000 0.000 0.000
```

Calculated values
E above lowest polymorph, meV per atom: 148
Space-group type: Fm-3m
Formation energy from the elements, eV/atom: -0.22


> Which value of formation energy from the elements does entry 1 give?

-0.13 eV/atom


Copy entry 3 word for word.
PrYEr5Th2 after structural relaxation. Source: the Alexandria database, functional PBE-GGA.

```
PrYEr5Th2
1.0
-7.110 3.056 -4.086
-5.096 -4.614 5.416
5.871 6.745 4.200
Th Er Pr Y
4 10 2 2
Cartesian
-2.788 -1.392 1.574
-7.194 -2.900 3.214
-5.012 1.342 -1.885
-9.418 -0.166 -0.245
0.000 0.000 0.000
0.854 2.460 5.835
-5.146 -0.976 4.333
-7.189 2.726 -0.306
2.799 5.027 2.780
-3.201 1.590 1.278
-9.133 0.160 2.749
-3.133 3.597 4.251
-1.189 6.163 1.197
-6.103 -0.779 0.665
-2.664 0.676 5.140
-3.671 4.511 0.389
-6.219 2.204 3.097
-0.116 2.983 2.432
```

Calculated values
Space-group type: I4/mcm
Formation energy from the elements, eV/atom: 0.33